The following is a PBE with a Hubbard U calculation of a relaxed structure of V3CoO8, from Alexandria via LeMat-Bulk.

Output
The magnetic moment is 3.971 μB per cell. As for the offset from the most stable computed form: 39 meV per atom. Its final energy is -87.77 eV per formula unit.

Cell lengths 6.4193, 6.4193, 6.5132 Å; angles 73.97, 73.97, 33.95 degrees
Last column: nearest neighbours and their distance in Å.
Fractional coordinates of all 12 atoms:
V (0.4008, 0.4008, 0.7165)  4 O 1.72-1.90
V (0.5988, 0.5988, 0.2777)  2 O 1.66-1.78
V (0.2955, 0.2955, 0.2966)  4 O 1.80-1.98
Co (0.6991, 0.6991, 0.6996)  4 O 1.96-2.01
O (0.1319, 0.1319, 0.3116)  3 V 1.94-1.98
O (0.2559, 0.2559, 0.6237)  2 Co 2.01, 2 V 2.04
O (0.3589, 0.3589, 0.0101)  2 V 1.80-1.83
O (0.4478, 0.4478, 0.3578)  1 V 1.78
O (0.5470, 0.5470, 0.6455)  1 V 1.72
O (0.6330, 0.6330, 0.0125)  1 V 1.66
O (0.7543, 0.7543, 0.3377)  3 V 1.94-2.06
O (0.8770, 0.8770, 0.7108)  2 V 1.90